{
  "formula": "KFeAg2F6",
  "functional": "PBE with a Hubbard U",
  "state": "optimized geometry",
  "cell": [[5.922, 0.000, 0.000], [0.000, 6.268, 0.000], [-5.678, 0.000, 8.452]],
  "species": ["K", "K", "Fe", "Fe", "Ag", "Ag", "Ag", "Ag", "F", "F", "F", "F", "F", "F", "F", "F", "F", "F", "F", "F"],
  "fractional_positions": [[0.000, 0.000, 0.000], [0.000, 0.500, 0.500], [0.500, 0.000, 0.500], [0.500, 0.500, 0.000], [0.221, 0.035, 0.735], [0.221, 0.465, 0.235], [0.779, 0.535, 0.765], [0.779, 0.965, 0.265], [0.211, 0.158, 0.480], [0.211, 0.342, 0.980], [0.229, 0.745, 0.885], [0.229, 0.755, 0.385], [0.421, 0.111, 0.303], [0.421, 0.389, 0.803], [0.579, 0.611, 0.197], [0.579, 0.889, 0.697], [0.771, 0.245, 0.615], [0.771, 0.255, 0.115], [0.789, 0.658, 0.020], [0.789, 0.842, 0.520]],
  "crystal_system": "monoclinic",
  "energy_ha_per_atom": -0.1545
}